Record 1
Compound: HgIrBr
Source: Alexandria
Functional: PBE-GGA
Structure: relaxed

Cell lengths 3.0712, 5.7318, 14.3245 Å; angles 90.00, 90.00, 90.00 degrees
Space group Fmm2 (No. 42)
Asymmetric unit:
Hg  0.0000  0.0000  0.0000 x4
Ir  0.0000  0.0000  0.3385 x4
Br  0.0000  0.0000  0.6970 x4

Energy above the lowest structure with this stoichiometry, eV per atom: 0.013
N(E_F), states/eV/f.u.: 3.5

Record 2
Compound: HgIrBr
Source: Alexandria
Functional: PBE-GGA
Structure: relaxed

Cell lengths 6.6660, 6.6660, 6.6660 Å; angles 90.00, 90.00, 90.00 degrees
Space group F-43m (No. 216)
Asymmetric unit:
Hg  0.0000  0.0000  0.0000 x4
Ir  0.2500  0.2500  0.7500 x4
Br  0.2500  0.2500  0.2500 x4

Energy above the lowest structure with this stoichiometry, eV per atom: 0.648
N(E_F), states/eV/f.u.: 3.6

| no. | formation energy (no corrections) (eV per atom) | electronic total energy (eV/atom) |
| --- | --- | --- |
| 1 | 0.696 | -2.916 |
| 2 | 1.331 | -2.281 |